Record 1
# SmNi5P2

A relaxed SmNi5P2 crystal (PBE-GGA, Alexandria). Values from VASP.

Quantum ESPRESSO input file:
```
&SYSTEM
  ibrav = 0, nat = 8, ntyp = 3
/
ATOMIC_SPECIES
Ni 58.69 Ni.upf
P 30.97 P.upf
Sm 150.36 Sm.upf
ATOMIC_POSITIONS crystal
Ni 0.0000 0.5000 0.5000
Ni 0.6549 0.1566 0.5337
Ni 0.3451 0.8434 0.4663
Ni 0.6549 0.5337 0.1566
Ni 0.3451 0.4663 0.8434
P 0.7556 0.7444 0.7444
P 0.2444 0.2556 0.2556
Sm 0.0000 0.0000 0.0000
CELL_PARAMETERS angstrom
-2.1625 2.9211 0.7773
-4.6723 -1.8591 2.8732
0.3459 1.1107 5.6735
```

Computed properties:
density of states at the Fermi level	6.803	states/eV/f.u.
formation energy	-0.709	eV per atom

Record 2
# PrSmTh2P4

A relaxed PrSmTh2P4 crystal (PBE-GGA, Alexandria). Values from VASP.

Quantum ESPRESSO input file:
```
&SYSTEM
  ibrav = 0, nat = 8, ntyp = 4
/
ATOMIC_SPECIES
Sm 150.36 Sm.upf
P 30.97 P.upf
Th 232.04 Th.upf
Pr 140.91 Pr.upf
ATOMIC_POSITIONS crystal
Sm 0.0000 0.5000 0.5000
P 0.0000 0.2452 0.2539
P 0.5000 0.2472 0.7485
P 0.0000 0.7548 0.7461
P 0.5000 0.7528 0.2515
Th 0.0000 0.0000 0.0000
Th 0.5000 0.0000 0.5000
Pr 0.5000 0.5000 0.0000
CELL_PARAMETERS angstrom
4.1551 0.0000 0.0000
0.0000 7.1747 -0.1302
0.0000 2.5359 6.7338
```

Computed properties:
density of states at the Fermi level	4.089	states/eV/f.u.
formation energy	-1.565	eV per atom

Record 3
# ScTa2Co

A relaxed ScTa2Co crystal (PBE-GGA, Alexandria). Values from VASP.

Quantum ESPRESSO input file:
```
&SYSTEM
  ibrav = 0, nat = 8, ntyp = 3
/
ATOMIC_SPECIES
Co 58.93 Co.upf
Ta 180.95 Ta.upf
Sc 44.96 Sc.upf
ATOMIC_POSITIONS crystal
Co 0.0000 0.0000 0.0000
Co 0.7500 0.2500 0.5000
Ta 0.8750 0.9358 0.7500
Ta 0.6858 0.1250 0.2500
Ta 0.0642 0.6250 0.2500
Ta 0.3750 0.3142 0.7500
Sc 0.5000 0.5000 0.0000
Sc 0.2500 0.7500 0.5000
CELL_PARAMETERS angstrom
7.3961 0.0000 0.0000
0.0000 7.3961 0.0000
3.6980 3.6980 2.6931
```

Computed properties:
density of states at the Fermi level	4.490	states/eV/f.u.
excess energy over the best structure of this formula in the dataset	371.6	meV per atom
formation energy	0.320	eV per atom

Record 4
# Cs2PaInCl6

A relaxed Cs2PaInCl6 crystal (PBE-GGA, Alexandria). Values from VASP.

Quantum ESPRESSO input file:
```
&SYSTEM
  ibrav = 0, nat = 20, ntyp = 4
/
ATOMIC_SPECIES
Cl 35.45 Cl.upf
Cs 132.91 Cs.upf
In 114.82 In.upf
Pa 231.04 Pa.upf
ATOMIC_POSITIONS crystal
Cl 0.8143 0.2374 0.1340
Cl 0.1353 0.6289 0.6069
Cl 0.8647 0.3711 0.3931
Cl 0.3711 0.3711 0.3931
Cl 0.1857 0.1857 0.8660
Cl 0.6289 0.6289 0.6069
Cl 0.3711 0.8647 0.3931
Cl 0.2374 0.8143 0.1340
Cl 0.1857 0.7626 0.8660
Cl 0.7626 0.1857 0.8660
Cl 0.8143 0.8143 0.1340
Cl 0.6289 0.1353 0.6069
Cs 0.8692 0.8692 0.3924
Cs 0.7289 0.7289 0.8133
Cs 0.2711 0.2711 0.1867
Cs 0.1308 0.1308 0.6076
In 0.4063 0.4063 0.7811
In 0.5937 0.5937 0.2189
Pa 0.0000 0.0000 0.0000
Pa 0.5000 0.5000 0.5000
CELL_PARAMETERS angstrom
8.7057 0.0000 0.0000
4.3528 7.5393 0.0000
4.3528 2.5131 12.2168
```

Computed properties:
total DFT energy (no corrections)	-83.0	eV/cell
density of states at the Fermi level	2.865	states/eV/f.u.

Q: Number 1 is which compound?
A: SmNi5P2